<P>
Tb7Sm4Mg | GGA-PBE | relaxed

a b c (Å): 6.7217 6.7217 12.6566
angles (deg): 113.92 113.92 51.52
With the nearest neighbours (Å) after each atom.
Fractional coordinates of all 12 atoms:
Tb: 0.0000 0.0000 0.0000  2 Mg 2.92
Tb: 0.1345 0.1345 0.4856  5 Sm 3.32-3.62, 2 Tb 3.33-3.44
Tb: 0.2971 0.2971 0.0737  1 Mg 3.00, 2 Tb 3.28-3.32
Tb: 0.4108 0.4108 0.7205  1 Mg 3.20, 2 Tb 3.32-3.33
Tb: 0.5892 0.5892 0.2795  1 Mg 3.20, 2 Tb 3.32-3.33
Tb: 0.7029 0.7029 0.9263  1 Mg 3.00, 2 Tb 3.28-3.32
Tb: 0.8655 0.8655 0.5144  5 Sm 3.32-3.62, 2 Tb 3.33-3.44
Sm: 0.1302 0.1302 0.7701  6 Tb 3.38-3.72, 2 Sm 3.50
Sm: 0.3176 0.3176 0.3537  4 Tb 3.32-3.46, 2 Sm 3.50
Sm: 0.6824 0.6824 0.6463  4 Tb 3.32-3.46, 2 Sm 3.50
Sm: 0.8698 0.8698 0.2299  6 Tb 3.38-3.72, 2 Sm 3.50
Mg: 0.5000 0.5000 0.0000  6 Tb 2.92-3.20

Values from the calculation:
total magnetic moment	0.00	μB per formula unit
SG	No. 12
mass density	7.22	Mg/m³

---

<Q>
Tb7Sm4Mg | GGA-PBE | relaxed

a b c (Å): 3.5782 3.5782 34.6122
angles (deg): 90.00 90.00 120.00
With the nearest neighbours (Å) after each atom.
Fractional coordinates of all 12 atoms:
Tb: 0.0000 0.0000 0.0000  6 Tb 3.58, 6 Sm 3.59
Tb: 0.0000 0.0000 0.2533  9 Tb 3.55-3.58, 3 Sm 3.60
Tb: 0.0000 0.0000 0.7467  9 Tb 3.55-3.58, 3 Sm 3.60
Tb: 0.3333 0.6667 0.1698  9 Tb 3.55-3.58, 3 Sm 3.59
Tb: 0.3333 0.6667 0.4227  3 Mg 3.38, 3 Sm 3.57, 6 Tb 3.58
Tb: 0.6667 0.3333 0.5773  3 Mg 3.38, 3 Sm 3.57, 6 Tb 3.58
Tb: 0.6667 0.3333 0.8302  9 Tb 3.55-3.58, 3 Sm 3.59
Sm: 0.3333 0.6667 0.6615  6 Tb 3.57-3.60, 6 Sm 3.58
Sm: 0.3333 0.6667 0.9152  6 Sm 3.58, 6 Tb 3.59
Sm: 0.6667 0.3333 0.0848  6 Sm 3.58, 6 Tb 3.59
Sm: 0.6667 0.3333 0.3385  6 Tb 3.57-3.60, 6 Sm 3.58
Mg: 0.0000 0.0000 0.5000  6 Tb 3.38, 6 Mg 3.58

Values from the calculation:
total magnetic moment	0.00	μB per formula unit
SG	No. 164
mass density	7.52	Mg/m³

---

Stability comparison, relative energies in meV per atom: <P> 234; <Q> 0

---

<P>
TbSm8Mg2 | GGA-PBE | relaxed

a b c (Å): 9.2337 9.2337 8.1427
angles (deg): 107.71 107.71 32.19
With the nearest neighbours (Å) after each atom.
Fractional coordinates of all 11 atoms:
Tb: 0.0000 0.0000 0.0000  12 Sm 3.47-3.64
Sm: 0.0939 0.0939 0.4592  3 Mg 3.47-3.49, 1 Tb 3.58, 8 Sm 3.60-3.68
Sm: 0.1836 0.1836 0.9330  3 Mg 3.38-3.78, 8 Sm 3.42-3.68, 1 Tb 3.47
Sm: 0.3589 0.3589 0.8030  3 Mg 3.40-3.45, 7 Sm 3.57-3.61, 2 Tb 3.59
Sm: 0.4506 0.4506 0.2673  1 Mg 3.49, 9 Sm 3.52-3.64, 2 Tb 3.64
Sm: 0.5494 0.5494 0.7327  1 Mg 3.49, 9 Sm 3.52-3.64, 2 Tb 3.64
Sm: 0.6411 0.6411 0.1970  3 Mg 3.40-3.45, 7 Sm 3.57-3.61, 2 Tb 3.59
Sm: 0.8164 0.8164 0.0670  3 Mg 3.38-3.78, 8 Sm 3.42-3.68, 1 Tb 3.47
Sm: 0.9061 0.9061 0.5408  3 Mg 3.47-3.49, 1 Tb 3.58, 8 Sm 3.60-3.68
Mg: 0.2729 0.2729 0.3658  10 Sm 3.38-3.78, 2 Mg 3.62
Mg: 0.7271 0.7271 0.6342  10 Sm 3.38-3.78, 2 Mg 3.62

Values from the calculation:
total magnetic moment	0.00	μB per formula unit
SG	No. 12
mass density	6.68	Mg/m³

---

<Q>
TbSm8Mg2 | GGA-PBE | relaxed

a b c (Å): 9.0529 9.0529 5.7815
angles (deg): 103.05 103.05 121.11
With the nearest neighbours (Å) after each atom.
Fractional coordinates of all 11 atoms:
Tb: 0.0000 0.0000 0.0000  4 Sm 3.28-3.32
Sm: 0.0974 0.3235 0.6382  2 Mg 3.28-3.48, 5 Sm 3.33-3.63
Sm: 0.2107 0.7893 0.0000  2 Mg 3.26, 1 Tb 3.32, 2 Sm 3.63
Sm: 0.3235 0.0974 0.6382  2 Mg 3.28-3.48, 5 Sm 3.33-3.63
Sm: 0.4099 0.4099 0.2055  1 Sm 3.03, 1 Tb 3.28
Sm: 0.5901 0.5901 0.7945  1 Sm 3.03, 1 Tb 3.28
Sm: 0.6765 0.9026 0.3618  2 Mg 3.28-3.48, 5 Sm 3.33-3.63
Sm: 0.7893 0.2107 0.0000  2 Mg 3.26, 1 Tb 3.32, 2 Sm 3.63
Sm: 0.9026 0.6765 0.3618  2 Mg 3.28-3.48, 5 Sm 3.33-3.63
Mg: 0.3069 0.6931 0.5000  8 Sm 3.26-3.48
Mg: 0.6931 0.3069 0.5000  8 Sm 3.26-3.48

Values from the calculation:
total magnetic moment	0.00	μB per formula unit
SG	No. 12
mass density	6.50	Mg/m³

---

Stability comparison, relative energies in meV per atom: <P> 0; <Q> 108

---

<P>
Tb3Sm6Mg | GGA-PBE | relaxed

a b c (Å): 5.2973 10.4566 13.0394
angles (deg): 90.00 113.93 90.00
With the nearest neighbours (Å) after each atom.
Fractional coordinates of all 20 atoms:
Tb: 0.0000 0.0000 0.0000  2 Sm 3.08
Tb: 0.0000 0.5000 0.5000  2 Sm 3.08
Tb: 0.2868 0.1207 0.7868  3 Sm 3.28-3.34
Tb: 0.2868 0.3793 0.2868  3 Sm 3.28-3.34
Tb: 0.7132 0.6207 0.7132  3 Sm 3.28-3.34
Tb: 0.7132 0.8793 0.2132  3 Sm 3.28-3.34
Sm: 0.0801 0.6737 0.0802  2 Mg 3.35, 5 Sm 3.50-3.72, 1 Tb 3.54
Sm: 0.0801 0.8263 0.5802  2 Mg 3.35, 5 Sm 3.50-3.72, 1 Tb 3.54
Sm: 0.2519 0.0683 0.2518  1 Mg 3.04, 4 Tb 3.08-3.34
Sm: 0.2519 0.4317 0.7518  1 Mg 3.04, 4 Tb 3.08-3.34
Sm: 0.3847 0.7141 0.3850  1 Mg 3.29, 3 Sm 3.46-3.66
Sm: 0.3847 0.7859 0.8850  1 Mg 3.29, 3 Sm 3.46-3.66
Sm: 0.6153 0.2141 0.1150  1 Mg 3.29, 3 Sm 3.46-3.66
Sm: 0.6153 0.2859 0.6150  1 Mg 3.29, 3 Sm 3.46-3.66
Sm: 0.7481 0.5683 0.2482  1 Mg 3.04, 4 Tb 3.08-3.34
Sm: 0.7481 0.9317 0.7482  1 Mg 3.04, 4 Tb 3.08-3.34
Sm: 0.9199 0.1737 0.4198  2 Mg 3.35, 5 Sm 3.50-3.72, 1 Tb 3.54
Sm: 0.9199 0.3263 0.9198  2 Mg 3.35, 5 Sm 3.50-3.72, 1 Tb 3.54
Mg: 0.5000 0.0000 0.5000  8 Sm 3.04-3.35
Mg: 0.5000 0.5000 0.0000  8 Sm 3.04-3.35

Values from the calculation:
total magnetic moment	0.00	μB per formula unit
SG	No. 14
mass density	7.06	Mg/m³

---

<Q>
Tb3Sm6Mg | GGA-PBE | relaxed

a b c (Å): 8.8019 8.8019 9.1966
angles (deg): 90.00 90.00 114.33
With the nearest neighbours (Å) after each atom.
Fractional coordinates of all 20 atoms:
Tb: 0.0334 0.9666 0.5000  1 Mg 3.37, 2 Tb 3.49, 5 Sm 3.53-3.58
Tb: 0.1794 0.4672 0.0145  5 Sm 3.29-3.57, 2 Tb 3.37-3.49, 1 Mg 3.55
Tb: 0.4672 0.1794 0.5145  5 Sm 3.29-3.57, 2 Tb 3.37-3.49, 1 Mg 3.55
Tb: 0.5328 0.8206 0.0145  5 Sm 3.29-3.57, 2 Tb 3.37-3.49, 1 Mg 3.55
Tb: 0.8206 0.5328 0.5145  5 Sm 3.29-3.57, 2 Tb 3.37-3.49, 1 Mg 3.55
Tb: 0.9666 0.0334 0.0000  1 Mg 3.37, 2 Tb 3.49, 5 Sm 3.53-3.58
Sm: 0.0204 0.3308 0.3372  3 Tb 3.29-3.58, 1 Mg 3.33, 3 Sm 3.35-3.47
Sm: 0.2023 0.7977 0.2231  1 Mg 3.30, 3 Sm 3.33-3.69, 3 Tb 3.42-3.57
Sm: 0.2091 0.3587 0.6729  3 Tb 3.32-3.57, 4 Sm 3.33-3.58, 1 Mg 3.37
Sm: 0.3308 0.0204 0.8372  3 Tb 3.29-3.58, 1 Mg 3.33, 3 Sm 3.35-3.47
Sm: 0.3587 0.2091 0.1729  3 Tb 3.32-3.57, 4 Sm 3.33-3.58, 1 Mg 3.37
Sm: 0.4378 0.5622 0.3555  1 Mg 3.33, 7 Sm 3.34-3.69
Sm: 0.5622 0.4378 0.8555  1 Mg 3.33, 7 Sm 3.34-3.69
Sm: 0.6413 0.7909 0.6729  3 Tb 3.32-3.57, 4 Sm 3.33-3.58, 1 Mg 3.37
Sm: 0.6692 0.9796 0.3372  3 Tb 3.29-3.58, 1 Mg 3.33, 3 Sm 3.35-3.47
Sm: 0.7909 0.6413 0.1729  3 Tb 3.32-3.57, 4 Sm 3.33-3.58, 1 Mg 3.37
Sm: 0.7977 0.2023 0.7231  1 Mg 3.30, 3 Sm 3.33-3.69, 3 Tb 3.42-3.57
Sm: 0.9796 0.6692 0.8372  3 Tb 3.29-3.58, 1 Mg 3.33, 3 Sm 3.35-3.47
Mg: 0.2567 0.7433 0.5706  6 Sm 3.30-3.37, 3 Tb 3.37-3.55
Mg: 0.7433 0.2567 0.0706  6 Sm 3.30-3.37, 3 Tb 3.37-3.55

Values from the calculation:
total magnetic moment	0.00	μB per formula unit
SG	No. 36
mass density	7.18	Mg/m³

---

Stability comparison, relative energies in meV per atom: <P> 10; <Q> 0